(1)
## PaAsH2 (PBE)

Data for a relaxed PaAsH2 crystal.

POSCAR file:
```
PaAsH2
1.0
3.3189 -1.9166 0.0000
3.3189 1.9166 0.0000
-2.1922 0.0000 4.6855
Pa As H
1 1 2
Direct
0.0000 0.0000 0.0000
0.2042 0.2042 0.6086
0.3885 0.3885 0.1674
0.6801 0.6801 0.0409
```

Values from the calculation:
Raw total energy   -5.66 eV/atom
Space-group type   No. 8
DOS at the Fermi energy   0.1 states/eV/f.u.

(2)
## MgHgGe3 (PBE)

Data for a relaxed MgHgGe3 crystal.

POSCAR file:
```
MgHgGe3
1.0
5.0725 0.0000 0.0000
0.0000 5.0725 0.0000
0.0000 0.0000 5.0725
Mg Hg Ge
1 1 3
Direct
0.0000 0.0000 0.0000
0.5000 0.5000 0.5000
0.0000 0.0000 0.5000
0.0000 0.5000 0.0000
0.5000 0.0000 0.0000
```

Values from the calculation:
Raw total energy   -2.51 eV/atom
Space-group type   No. 221
DOS at the Fermi energy   1.8 states/eV/f.u.
Formation energy   0.643 eV/atom

(3)
## Dy4Ho5Mg2 (PBE)

Data for a relaxed Dy4Ho5Mg2 crystal.

POSCAR file:
```
Dy4Ho5Mg2
1.0
3.4757 0.0000 0.0000
1.7249 7.9073 0.0000
0.0014 0.1074 11.9844
Dy Ho Mg
4 5 2
Direct
0.0556 0.3917 0.2956
0.3688 0.7636 0.1824
0.6312 0.2364 0.8176
0.9444 0.6083 0.7044
0.0000 0.5000 0.0000
0.2547 0.9891 0.6279
0.3170 0.8655 0.9016
0.6830 0.1345 0.0984
0.7453 0.0109 0.3721
0.4124 0.6749 0.4569
0.5876 0.3251 0.5431
```

Values from the calculation:
Raw total energy   -4.03 eV/atom
Space-group type   No. 2
DOS at the Fermi energy   13.6 states/eV/f.u.
Formation energy   0.012 eV/atom

(4)
## CePaOsRu (PBE)

Data for a relaxed CePaOsRu crystal.

POSCAR file:
```
CePaOsRu
1.0
0.0000 3.4453 3.4453
3.4453 0.0000 3.4453
3.4453 3.4453 0.0000
Ce Pa Os Ru
1 1 1 1
Direct
0.0000 0.0000 0.0000
0.5000 0.5000 0.5000
0.2500 0.2500 0.2500
0.7500 0.7500 0.7500
```

Values from the calculation:
Raw total energy   -9.22 eV/atom
Space-group type   No. 216
DOS at the Fermi energy   5.7 states/eV/f.u.
Formation energy   -0.236 eV/atom

(5)
## SiRuPt (PBE)

Data for a relaxed SiRuPt crystal.

POSCAR file:
```
SiRuPt
1.0
0.0000 2.8370 2.8370
2.8370 0.0000 2.8370
2.8370 2.8370 0.0000
Si Ru Pt
1 1 1
Direct
0.0000 0.0000 0.0000
0.7500 0.7500 0.7500
0.2500 0.2500 0.2500
```

Values from the calculation:
Raw total energy   -7.45 eV/atom
Formation energy without anion corrections   -0.532 eV per atom
Space-group type   No. 216
DOS at the Fermi energy   2.1 states/eV/f.u.

(6)
## NaPaTe2 (PBE)

Data for a relaxed NaPaTe2 crystal.

POSCAR file:
```
NaPaTe2
1.0
3.8005 0.0000 0.0000
0.0000 3.8005 0.0000
0.0000 0.0000 7.9313
Na Pa Te
1 1 2
Direct
0.0000 0.0000 0.0000
0.0000 0.0000 0.5000
0.5000 0.5000 0.2742
0.5000 0.5000 0.7258
```

Values from the calculation:
Raw total energy   -5.11 eV/atom
Formation energy without anion corrections   -0.835 eV per atom
Space-group type   No. 123
DOS at the Fermi energy   4.6 states/eV/f.u.

(7)
## CuAgS2 (PBE)

Data for a relaxed CuAgS2 crystal.

POSCAR file:
```
CuAgS2
1.0
1.9382 1.1190 6.8216
-1.9382 1.1190 6.8216
0.0000 -2.2380 6.8216
Cu Ag S
1 1 2
Direct
0.0000 0.0000 0.0000
0.5000 0.5000 0.5000
0.1030 0.1030 0.1030
0.8970 0.8970 0.8970
```

Values from the calculation:
Raw total energy   -3.64 eV/atom
Formation energy without anion corrections   0.163 eV per atom
Space-group type   No. 166
DOS at the Fermi energy   2.5 states/eV/f.u.

(8)
## K2ZrCu (PBE)

Data for a relaxed K2ZrCu crystal.

POSCAR file:
```
K2ZrCu
1.0
-1.5842 3.2095 6.8437
1.5842 -3.2095 6.8437
1.5842 3.2095 -6.8437
K Zr Cu
2 1 1
Direct
0.0000 0.0000 0.0000
0.6937 0.1937 0.5000
0.3242 0.8242 0.5000
0.4750 0.4750 0.0000
```

Values from the calculation:
Raw total energy   -3.01 eV/atom
Space-group type   No. 44
DOS at the Fermi energy   3.7 states/eV/f.u.
Formation energy   0.702 eV/atom